# 1
Density functional theory data (PBE) for an optimized crystal structure of Pr2NdY2Ho2.

abc: 3.546 6.192 11.929
angles: 72.27 90.00 106.64
Atoms (fractional coordinates):
Pr1 0.327 0.655 0.085
Pr2 0.673 0.345 0.915
Nd1 0.000 0.000 0.500
Y1 0.548 0.096 0.229
Y2 0.452 0.904 0.771
Ho1 0.227 0.454 0.635
Ho2 0.773 0.546 0.365

Values from the calculation:
Its space group is C2/m (12).

# 2
Density functional theory data (PBE) for an optimized crystal structure of Be4AgPt.

abc: 4.477 4.477 4.477
angles: 60.00 60.00 60.00
Atoms (fractional coordinates):
Be1 0.375 0.375 0.874
Be2 0.375 0.375 0.375
Be3 0.874 0.375 0.375
Be4 0.375 0.874 0.375
Ag1 0.000 0.000 0.000
Pt1 0.750 0.750 0.750

Values from the calculation:
Its space group is F-43m (216).

no.,formation enthalpy at 0 K (meV per atom),VASP energy (eV/atom)
1,85,-5.117
2,-256,-4.222